## YMgZn (GGA-PBE)

Data for a relaxed structure of YMgZn.

Cell lengths 4.8768, 4.8768, 9.8715 Å; angles 90.00, 90.00, 120.00 degrees
Atoms (fractional coordinates):
Mg 0.3333 0.6667 0.1919
Mg 0.6667 0.3333 0.2924
Mg 0.6667 0.3333 0.6004
Y 0.0000 0.0000 0.4101
Y 0.0000 0.0000 0.7607
Y 0.6667 0.3333 0.9858
Zn 0.0000 0.0000 0.1001
Zn 0.3333 0.6667 0.5438
Zn 0.3333 0.6667 0.8774

Computed properties:
Total energy in eV/atom: -3.280
V in A^3/atom: 22.59
Symmetry: P3m1 (156)
Calculated density in g/cm³: 4.4
Energy above the lowest structure with this stoichiometry in kJ/mol of formula units: 29